First-principles (PBEsol) data for a relaxed structure of CdReBr3, as listed in Alexandria.

Values from the calculation:
N(E_F): 0.16 states/eV per atom
uncorrected energy: -15.63 eV/cell
magnetization: 6.00 μB per cell
V: 153.4 Å³/cell
raw formation energy: 4.51 eV/f.u.

a = 5.353 Å, b = 5.353 Å, c = 5.353 Å
α = 90.00°, β = 90.00°, γ = 90.00°
Space group Pm-3m (No. 221)
Asymmetric unit:
Cd1 0.000 0.000 0.000 x1
Re1 0.500 0.500 0.500 x1
Br1 0.000 0.000 0.500 x3

First-principles (PBEsol) data for a relaxed structure of KHg2Br, as listed in Alexandria.

Values from the calculation:
uncorrected energy: -13.56 eV/cell
magnetization: 0.00 μB per cell
V: 249.0 Å³/cell
raw formation energy: -2.64 eV/f.u.
distance to the lowest polymorph of the same formula: 48 meV per atom

a = 9.126 Å, b = 5.080 Å, c = 6.069 Å
α = 90.00°, β = 117.74°, γ = 90.00°
Space group Cm (No. 8)
Asymmetric unit:
K1 0.000 0.000 0.000 x2
Hg1 0.013 0.500 0.542 x2
Hg2 0.227 0.000 0.675 x2
Br1 0.244 0.500 0.231 x2

First-principles (PBEsol) data for a relaxed structure of KCuF3, as listed in Alexandria.

Values from the calculation:
N(E_F): 0.31 states/eV per atom
uncorrected energy: -21.80 eV/cell
magnetization: 0.00 μB per cell
V: 63.4 Å³/cell
raw formation energy: -10.55 eV/f.u.

a = 3.987 Å, b = 3.987 Å, c = 3.987 Å
α = 90.00°, β = 90.00°, γ = 90.00°
Space group Pm-3m (No. 221)
Asymmetric unit:
K1 0.000 0.000 0.000 x1
Cu1 0.500 0.500 0.500 x1
F1 0.000 0.500 0.500 x3